8
Lattice="-3.003 3.003 4.231 3.003 -3.003 4.231 3.003 3.003 -4.231" Properties=species:S:1:pos:R:3 comment="TcAuO2 | Alexandria via LeMat-Bulk | PBE | optimized geometry" sg=I-42d crystal_system=tetragonal raw_formation_energy_kcal_per_mol_atoms=-7.32 volume_a3_per_atom=19.07 total_magnetization_mub_per_atom=0.00 relative_energy_ev_per_atom=0.390 pbc="T T T"
Tc 0.000 0.000 0.000
Tc 0.000 3.003 2.115
Au 3.003 0.000 2.115
Au 0.000 0.000 4.231
O 0.006 1.501 1.058
O -1.501 2.996 3.173
O -0.006 4.504 1.058
O 1.501 3.009 3.173

5
Lattice="5.127 0.000 0.000 0.000 5.127 0.000 0.000 0.000 5.851" Properties=species:S:1:pos:R:3 comment="AlSb2IrI | Alexandria via LeMat-Bulk | PBE | optimized geometry" sg=P4/mmm crystal_system=tetragonal raw_formation_energy_kcal_per_mol_atoms=12.82 volume_a3_per_atom=30.76 total_magnetization_mub_per_atom=0.00 relative_energy_ev_per_atom=0.000 pbc="T T T"
Al 0.000 0.000 0.000
Sb 0.000 2.563 2.926
Sb 2.563 0.000 2.926
Ir 2.563 2.563 2.926
I 2.563 2.563 0.000

4
Lattice="1.649 0.952 9.252 -1.649 0.952 9.252 0.000 -1.904 9.252" Properties=species:S:1:pos:R:3 comment="Dy2PaH | Alexandria via LeMat-Bulk | PBE | optimized geometry" sg=R-3m crystal_system=trigonal volume_a3_per_atom=21.78 total_magnetization_mub_per_atom=0.00 relative_energy_ev_per_atom=0.000 pbc="T T T"
Dy 0.000 0.000 3.217
Dy 0.000 0.000 24.539
Pa 0.000 0.000 0.000
H 0.000 0.000 13.878